[1]
# GGA-PBE Ho2NiPd, relaxed
# E_form: -489 meV/atom
# Total energy: -5.5217 eV/atom
# Fermi-level density of states: 7.3 states/eV per cell
data_Ho2NiPd
_chemical_formula_sum 'Ho6 Ni3 Pd3'
_space_group_name_H-M_alt 'R -3 m'
_space_group_IT_number 166
_space_group_name_Hall '-R 3 2"'
_cell_length_a 3.9567
_cell_length_b 3.9567
_cell_length_c 19.7596
_cell_angle_alpha 90.00
_cell_angle_beta 90.00
_cell_angle_gamma 120.00
loop_
_atom_site_label
_atom_site_type_symbol
_atom_site_fract_x
_atom_site_fract_y
_atom_site_fract_z
_atom_site_occupancy
Ho1 Ho 0.0000 0.0000 0.2443 1
Ni1 Ni 0.0000 0.0000 0.5000 1
Pd1 Pd 0.0000 0.0000 0.0000 1

---

[2]
# GGA-PBE Ho2NiPd, relaxed
# E_form: -647 meV/atom
# Total energy: -5.6790 eV/atom
# Fermi-level density of states: 4.1 states/eV per cell
data_Ho2NiPd
_chemical_formula_sum 'Ho2 Ni1 Pd1'
_space_group_name_H-M_alt 'P 4/m m m'
_space_group_IT_number 123
_space_group_name_Hall '-P 4 2'
_cell_length_a 3.4161
_cell_length_b 3.4161
_cell_length_c 6.9211
_cell_angle_alpha 90.00
_cell_angle_beta 90.00
_cell_angle_gamma 90.00
loop_
_atom_site_label
_atom_site_type_symbol
_atom_site_fract_x
_atom_site_fract_y
_atom_site_fract_z
_atom_site_occupancy
Ho1 Ho 0.0000 0.0000 0.2392 1
Ni1 Ni 0.5000 0.5000 0.0000 1
Pd1 Pd 0.5000 0.5000 0.5000 1

---

[3]
# GGA-PBE Ho3NiPd2, relaxed
# E_form: -718 meV/atom
# Total energy: -5.7016 eV/atom
# Fermi-level density of states: 12.8 states/eV per cell
data_Ho3NiPd2
_chemical_formula_sum 'Ho12 Ni4 Pd8'
_space_group_name_H-M_alt 'P n m a'
_space_group_IT_number 62
_space_group_name_Hall '-P 2ac 2n'
_cell_length_a 11.3621
_cell_length_b 4.1228
_cell_length_c 11.2267
_cell_angle_alpha 90.00
_cell_angle_beta 90.00
_cell_angle_gamma 90.00
loop_
_atom_site_label
_atom_site_type_symbol
_atom_site_fract_x
_atom_site_fract_y
_atom_site_fract_z
_atom_site_occupancy
Ho1 Ho 0.0502 0.2500 0.1261 1
Ho2 Ho 0.1196 0.7500 0.5575 1
Ho3 Ho 0.2240 0.2500 0.8028 1
Ni1 Ni 0.1243 0.2500 0.3735 1
Pd1 Pd 0.0045 0.7500 0.3058 1
Pd2 Pd 0.1847 0.7500 0.0011 1

---

[4]
# GGA-PBE Ho2NiPd, relaxed
# E_form: -686 meV/atom
# Total energy: -5.7180 eV/atom
# Fermi-level density of states: 5.7 states/eV per cell
data_Ho2NiPd
_chemical_formula_sum 'Ho4 Ni2 Pd2'
_space_group_name_H-M_alt 'P 1 21/m 1'
_space_group_IT_number 11
_space_group_name_Hall '-P 2yb'
_cell_length_a 5.5101
_cell_length_b 4.3390
_cell_length_c 7.5002
_cell_angle_alpha 90.00
_cell_angle_beta 110.17
_cell_angle_gamma 90.00
loop_
_atom_site_label
_atom_site_type_symbol
_atom_site_fract_x
_atom_site_fract_y
_atom_site_fract_z
_atom_site_occupancy
Ho1 Ho 0.2169 0.2500 0.4338 1
Ho2 Ho 0.2263 0.2500 0.9271 1
Ni1 Ni 0.3411 0.7500 0.7088 1
Pd1 Pd 0.3372 0.7500 0.2112 1

---

Table of volume (Å³ per atom), in record order: 22.33; 20.19; 21.91; 21.04